TbEuGaSn, optimized geometry, DFT GGA-PBE; energy of formation = -540 meV per atom; size of the total moment = 7.084 μB/f.u.; crystal system = cubic
1.0
-3.7022 -3.4637 1.6119
-1.4246 -4.0342 -3.1619
1.3844 -4.9808 1.2558
Sn Tb Eu Ga
1 1 1 1
Direct
0.0000 0.0000 0.0000
0.7500 0.7500 0.7500
0.2500 0.2500 0.2500
0.5000 0.5000 0.5000


SrLi2Bi2, optimized geometry, DFT GGA-PBE; energy of formation = -606 meV per atom; size of the total moment = 0.000 μB/f.u.; E above lowest polymorph = 0.031 eV/atom; crystal system = tetragonal
1.0
4.7569 0.0000 0.0000
0.0000 4.7569 0.0000
2.3784 2.3784 6.1930
Li Sr Bi
2 1 2
Direct
0.2500 0.7500 0.5000
0.7500 0.2500 0.5000
0.0000 0.0000 0.0000
0.6246 0.6246 0.7509
0.3754 0.3754 0.2491


KRb3Sn, optimized geometry, DFT GGA-PBE; energy of formation = 509 meV per atom; size of the total moment = 2.000 μB/f.u.; E above lowest polymorph = 0.540 eV/atom; crystal system = cubic
1.0
-3.3312 4.4882 -4.9121
-6.5749 -1.3766 3.2010
1.0220 5.7733 4.5820
Rb K Sn
3 1 1
Direct
0.5000 0.0000 0.0000
0.0000 0.0000 0.5000
0.0000 0.5000 0.0000
0.0000 0.0000 0.0000
0.5000 0.5000 0.5000


HoTmMn4, optimized geometry, DFT GGA-PBE; energy of formation = 89 meV per atom; size of the total moment = 1.451 μB/f.u.; crystal system = cubic
1.0
-0.6300 -3.7561 -3.3503
3.9671 -2.8245 -1.4193
0.3444 -4.8301 1.5104
Mn Ho Tm
4 1 1
Direct
0.6251 0.6251 0.1248
0.1248 0.6251 0.6251
0.6251 0.6251 0.6251
0.6251 0.1248 0.6251
0.2500 0.2500 0.2500
0.0000 0.0000 0.0000


Be9V2W, optimized geometry, DFT GGA-PBE; energy of formation = -225 meV per atom; size of the total moment = 0.000 μB/f.u.; crystal system = trigonal
1.0
-1.4394 -1.1104 3.9459
-0.0510 -4.1758 1.1980
5.7923 -1.1297 4.1868
V Be W
2 9 1
Direct
0.1427 0.1427 0.5720
0.8573 0.8573 0.4280
0.0775 0.5848 0.7528
0.9225 0.4152 0.2472
0.4152 0.9225 0.2472
0.6659 0.6659 0.0023
0.4152 0.4152 0.2472
0.5000 0.5000 0.5000
0.3341 0.3341 0.9977
0.5848 0.0775 0.7528
0.5848 0.5848 0.7528
0.0000 0.0000 0.0000


ScTe2Ir, optimized geometry, DFT GGA-PBE; size of the total moment = 0.000 μB/f.u.; E above lowest polymorph = 0.310 eV/atom; crystal system = tetragonal; E_form (uncorrected) = -0.37 eV per atom
1.0
4.7979 0.0000 0.0000
0.0000 4.7978 0.0000
0.0000 0.0000 3.5464
Te Sc Ir
2 1 1
Direct
0.0000 0.0000 0.0000
0.5000 0.5000 0.0000
0.0000 0.5000 0.5000
0.5000 0.0000 0.5000


AcPuSi, optimized geometry, DFT GGA-PBE; size of the total moment = 5.947 μB/f.u.; E above lowest polymorph = 0.000 eV/atom; crystal system = tetragonal; E_form (uncorrected) = -0.39 eV per atom
1.0
-4.0519 -1.3144 1.4154
1.5872 -4.1402 0.6990
2.0503 2.1074 7.8263
Si Ac Pu
2 2 2
Direct
0.5000 0.0000 0.7461
0.0000 0.5000 0.2539
0.0000 0.5000 0.8528
0.5000 0.0000 0.1472
0.0000 0.0000 0.5000
0.5000 0.5000 0.5000


Er6CoHg2, optimized geometry, DFT GGA-PBE; energy of formation = -246 meV per atom; size of the total moment = 0.000 μB/f.u.; crystal system = monoclinic
1.0
-5.7352 1.4705 3.4220
0.0856 -6.5098 2.9408
5.4367 3.5116 7.6152
Er Hg Co
12 4 2
Direct
0.3035 0.8002 0.0482
0.3993 0.5077 0.7500
0.8035 0.6998 0.5482
0.6007 0.4923 0.2500
0.8993 0.9923 0.2500
0.1918 0.3020 0.0446
0.3082 0.8020 0.4554
0.6918 0.1980 0.5446
0.1007 0.0077 0.7500
0.6965 0.1998 0.9518
0.8082 0.6980 0.9554
0.1965 0.3002 0.4518
0.0323 0.5794 0.2495
0.5323 0.9206 0.7495
0.9677 0.4206 0.7505
0.4677 0.0794 0.2505
0.0000 0.0000 0.5000
0.5000 0.5000 0.0000